w.
Compound: BeGeTe2I
Source: Alexandria
Functional: PBE
Structure: optimized geometry

The crystal system is tetragonal.

```
data_BeGeTe2I
_space_group_name_H-M_alt 'P 4/m m m'
_space_group_IT_number 123
_space_group_name_Hall '-P 4 2'
_cell_length_a 5.443
_cell_length_b 5.443
_cell_length_c 5.628
_cell_angle_alpha 90.00
_cell_angle_beta 90.00
_cell_angle_gamma 90.00
loop_
_atom_site_label
_atom_site_fract_x
_atom_site_fract_y
_atom_site_fract_z
Be1 0.000 0.000 0.000
Ge1 0.500 0.500 0.500
Te1 0.000 0.500 0.500
I1 0.500 0.500 0.000
```


x.
Compound: BeGeTe2I
Source: Alexandria
Functional: PBE
Structure: optimized geometry

The crystal system is tetragonal.

```
data_BeGeTe2I
_space_group_name_H-M_alt 'P 4/m m m'
_space_group_IT_number 123
_space_group_name_Hall '-P 4 2'
_cell_length_a 5.075
_cell_length_b 5.075
_cell_length_c 5.151
_cell_angle_alpha 90.00
_cell_angle_beta 90.00
_cell_angle_gamma 90.00
loop_
_atom_site_label
_atom_site_fract_x
_atom_site_fract_y
_atom_site_fract_z
Be1 0.000 0.000 0.000
Ge1 0.500 0.500 0.500
Te1 0.000 0.500 0.000
I1 0.000 0.000 0.500
```


Most stable of them? x.


w.
Compound: BeGeTeI2
Source: Alexandria
Functional: PBE
Structure: optimized geometry

The crystal system is tetragonal.

```
data_BeGeTeI2
_space_group_name_H-M_alt 'P 4/m m m'
_space_group_IT_number 123
_space_group_name_Hall '-P 4 2'
_cell_length_a 5.668
_cell_length_b 5.668
_cell_length_c 5.554
_cell_angle_alpha 90.00
_cell_angle_beta 90.00
_cell_angle_gamma 90.00
loop_
_atom_site_label
_atom_site_fract_x
_atom_site_fract_y
_atom_site_fract_z
Be1 0.000 0.000 0.000
Ge1 0.500 0.500 0.500
Te1 0.500 0.500 0.000
I1 0.000 0.500 0.500
```


x.
Compound: BeGeTeI2
Source: Alexandria
Functional: PBE
Structure: optimized geometry

The crystal system is tetragonal.

```
data_BeGeTeI2
_space_group_name_H-M_alt 'P 4/m m m'
_space_group_IT_number 123
_space_group_name_Hall '-P 4 2'
_cell_length_a 5.132
_cell_length_b 5.132
_cell_length_c 5.324
_cell_angle_alpha 90.00
_cell_angle_beta 90.00
_cell_angle_gamma 90.00
loop_
_atom_site_label
_atom_site_fract_x
_atom_site_fract_y
_atom_site_fract_z
Be1 0.000 0.000 0.000
Ge1 0.500 0.500 0.500
Te1 0.000 0.000 0.500
I1 0.000 0.500 0.000
```


Most stable of them? x.


w.
Compound: BeIn2Ge
Source: Alexandria
Functional: PBE
Structure: optimized geometry

The crystal system is cubic.

```
data_BeIn2Ge
_space_group_name_H-M_alt 'F m -3 m'
_space_group_IT_number 225
_space_group_name_Hall '-F 4 2 3'
_cell_length_a 6.941
_cell_length_b 6.941
_cell_length_c 6.941
_cell_angle_alpha 90.00
_cell_angle_beta 90.00
_cell_angle_gamma 90.00
loop_
_atom_site_label
_atom_site_fract_x
_atom_site_fract_y
_atom_site_fract_z
Be1 0.000 0.000 0.000
In1 0.250 0.250 0.250
Ge1 0.000 0.000 0.500
```


x.
Compound: BeIn2Ge
Source: Alexandria
Functional: PBE
Structure: optimized geometry

The crystal system is tetragonal.

```
data_BeIn2Ge
_space_group_name_H-M_alt 'I -4 2 d'
_space_group_IT_number 122
_space_group_name_Hall 'I -4 2bw'
_cell_length_a 9.065
_cell_length_b 9.065
_cell_length_c 4.395
_cell_angle_alpha 90.00
_cell_angle_beta 90.00
_cell_angle_gamma 90.00
loop_
_atom_site_label
_atom_site_fract_x
_atom_site_fract_y
_atom_site_fract_z
Be1 0.000 0.000 0.000
In1 0.135 0.250 0.125
Ge1 0.000 0.000 0.500
```


Most stable of them? x.


w.
Compound: BeIn2NiGe
Source: Alexandria
Functional: PBE
Structure: optimized geometry

The crystal system is tetragonal.

```
data_BeIn2NiGe
_space_group_name_H-M_alt 'P 4/m m m'
_space_group_IT_number 123
_space_group_name_Hall '-P 4 2'
_cell_length_a 4.974
_cell_length_b 4.974
_cell_length_c 4.445
_cell_angle_alpha 90.00
_cell_angle_beta 90.00
_cell_angle_gamma 90.00
loop_
_atom_site_label
_atom_site_fract_x
_atom_site_fract_y
_atom_site_fract_z
Be1 0.000 0.000 0.000
In1 0.000 0.500 0.500
Ni1 0.500 0.500 0.500
Ge1 0.500 0.500 0.000
```


x.
Compound: BeIn2NiGe
Source: Alexandria
Functional: PBE
Structure: optimized geometry

The crystal system is tetragonal.

```
data_BeIn2NiGe
_space_group_name_H-M_alt 'P 4/m m m'
_space_group_IT_number 123
_space_group_name_Hall '-P 4 2'
_cell_length_a 5.361
_cell_length_b 5.361
_cell_length_c 4.056
_cell_angle_alpha 90.00
_cell_angle_beta 90.00
_cell_angle_gamma 90.00
loop_
_atom_site_label
_atom_site_fract_x
_atom_site_fract_y
_atom_site_fract_z
Be1 0.000 0.000 0.000
In1 0.000 0.500 0.500
Ni1 0.500 0.500 0.000
Ge1 0.000 0.000 0.500
```


Most stable of them? w.


w.
Compound: BeGe3Ir
Source: Alexandria
Functional: PBE
Structure: optimized geometry

The crystal system is cubic.

```
data_BeGe3Ir
_space_group_name_H-M_alt 'P m -3 m'
_space_group_IT_number 221
_space_group_name_Hall '-P 4 2 3'
_cell_length_a 4.362
_cell_length_b 4.362
_cell_length_c 4.362
_cell_angle_alpha 90.00
_cell_angle_beta 90.00
_cell_angle_gamma 90.00
loop_
_atom_site_label
_atom_site_fract_x
_atom_site_fract_y
_atom_site_fract_z
Be1 0.000 0.000 0.000
Ge1 0.000 0.000 0.500
Ir1 0.500 0.500 0.500
```


x.
Compound: BeGe3Ir
Source: Alexandria
Functional: PBE
Structure: optimized geometry

The crystal system is cubic.

```
data_BeGe3Ir
_space_group_name_H-M_alt 'P m -3 m'
_space_group_IT_number 221
_space_group_name_Hall '-P 4 2 3'
_cell_length_a 4.802
_cell_length_b 4.802
_cell_length_c 4.802
_cell_angle_alpha 90.00
_cell_angle_beta 90.00
_cell_angle_gamma 90.00
loop_
_atom_site_label
_atom_site_fract_x
_atom_site_fract_y
_atom_site_fract_z
Be1 0.000 0.000 0.000
Ge1 0.000 0.500 0.500
Ir1 0.500 0.500 0.500
```


Most stable of them? w.


w.
Compound: BeGeIr3
Source: Alexandria
Functional: PBE
Structure: optimized geometry

The crystal system is cubic.

```
data_BeGeIr3
_space_group_name_H-M_alt 'P m -3 m'
_space_group_IT_number 221
_space_group_name_Hall '-P 4 2 3'
_cell_length_a 4.156
_cell_length_b 4.156
_cell_length_c 4.156
_cell_angle_alpha 90.00
_cell_angle_beta 90.00
_cell_angle_gamma 90.00
loop_
_atom_site_label
_atom_site_fract_x
_atom_site_fract_y
_atom_site_fract_z
Be1 0.000 0.000 0.000
Ge1 0.500 0.500 0.500
Ir1 0.000 0.000 0.500
```


x.
Compound: BeGeIr3
Source: Alexandria
Functional: PBE
Structure: optimized geometry

The crystal system is cubic.

```
data_BeGeIr3
_space_group_name_H-M_alt 'P m -3 m'
_space_group_IT_number 221
_space_group_name_Hall '-P 4 2 3'
_cell_length_a 4.513
_cell_length_b 4.513
_cell_length_c 4.513
_cell_angle_alpha 90.00
_cell_angle_beta 90.00
_cell_angle_gamma 90.00
loop_
_atom_site_label
_atom_site_fract_x
_atom_site_fract_y
_atom_site_fract_z
Be1 0.000 0.000 0.000
Ge1 0.500 0.500 0.500
Ir1 0.000 0.500 0.500
```


Most stable of them? w.


w.
Compound: KBe3Ge
Source: Alexandria
Functional: PBE
Structure: optimized geometry

The crystal system is cubic.

```
data_KBe3Ge
_space_group_name_H-M_alt 'P m -3 m'
_space_group_IT_number 221
_space_group_name_Hall '-P 4 2 3'
_cell_length_a 5.071
_cell_length_b 5.071
_cell_length_c 5.071
_cell_angle_alpha 90.00
_cell_angle_beta 90.00
_cell_angle_gamma 90.00
loop_
_atom_site_label
_atom_site_fract_x
_atom_site_fract_y
_atom_site_fract_z
K1 0.000 0.000 0.000
Be1 0.000 0.000 0.500
Ge1 0.500 0.500 0.500
```


x.
Compound: KBe3Ge
Source: Alexandria
Functional: PBE
Structure: optimized geometry

The crystal system is cubic.

```
data_KBe3Ge
_space_group_name_H-M_alt 'P m -3 m'
_space_group_IT_number 221
_space_group_name_Hall '-P 4 2 3'
_cell_length_a 4.545
_cell_length_b 4.545
_cell_length_c 4.545
_cell_angle_alpha 90.00
_cell_angle_beta 90.00
_cell_angle_gamma 90.00
loop_
_atom_site_label
_atom_site_fract_x
_atom_site_fract_y
_atom_site_fract_z
K1 0.000 0.000 0.000
Be1 0.000 0.500 0.500
Ge1 0.500 0.500 0.500
```


Most stable of them? x.


w.
Compound: KBeGe3
Source: Alexandria
Functional: PBE
Structure: optimized geometry

The crystal system is cubic.

```
data_KBeGe3
_space_group_name_H-M_alt 'P m -3 m'
_space_group_IT_number 221
_space_group_name_Hall '-P 4 2 3'
_cell_length_a 5.539
_cell_length_b 5.539
_cell_length_c 5.539
_cell_angle_alpha 90.00
_cell_angle_beta 90.00
_cell_angle_gamma 90.00
loop_
_atom_site_label
_atom_site_fract_x
_atom_site_fract_y
_atom_site_fract_z
K1 0.000 0.000 0.000
Be1 0.500 0.500 0.500
Ge1 0.000 0.000 0.500
```


x.
Compound: KBeGe3
Source: Alexandria
Functional: PBE
Structure: optimized geometry

The crystal system is cubic.

```
data_KBeGe3
_space_group_name_H-M_alt 'P m -3 m'
_space_group_IT_number 221
_space_group_name_Hall '-P 4 2 3'
_cell_length_a 4.747
_cell_length_b 4.747
_cell_length_c 4.747
_cell_angle_alpha 90.00
_cell_angle_beta 90.00
_cell_angle_gamma 90.00
loop_
_atom_site_label
_atom_site_fract_x
_atom_site_fract_y
_atom_site_fract_z
K1 0.000 0.000 0.000
Be1 0.500 0.500 0.500
Ge1 0.000 0.500 0.500
```


Most stable of them? x.


w.
Compound: Li2BeGe2
Source: Alexandria
Functional: PBE
Structure: optimized geometry

The crystal system is tetragonal.

```
data_Li2BeGe2
_space_group_name_H-M_alt 'P 4/m b m'
_space_group_IT_number 127
_space_group_name_Hall '-P 4 2ab'
_cell_length_a 6.080
_cell_length_b 6.080
_cell_length_c 4.278
_cell_angle_alpha 90.00
_cell_angle_beta 90.00
_cell_angle_gamma 90.00
loop_
_atom_site_label
_atom_site_fract_x
_atom_site_fract_y
_atom_site_fract_z
Li1 0.162 0.338 0.000
Be1 0.000 0.000 0.500
Ge1 0.146 0.646 0.500
```


x.
Compound: Li2BeGe2
Source: Alexandria
Functional: PBE
Structure: optimized geometry

The crystal system is orthorhombic.

```
data_Li2BeGe2
_space_group_name_H-M_alt 'I b a m'
_space_group_IT_number 72
_space_group_name_Hall '-I 2 2c'
_cell_length_a 5.383
_cell_length_b 11.037
_cell_length_c 5.300
_cell_angle_alpha 90.00
_cell_angle_beta 90.00
_cell_angle_gamma 90.00
loop_
_atom_site_label
_atom_site_fract_x
_atom_site_fract_y
_atom_site_fract_z
Li1 0.216 0.174 0.000
Be1 0.000 0.000 0.250
Ge1 0.184 0.421 0.000
```


Most stable of them? w.


w.
Compound: Li2BeGe
Source: Alexandria
Functional: PBE
Structure: optimized geometry

The crystal system is trigonal.

```
data_Li2BeGe
_space_group_name_H-M_alt 'R 3 m'
_space_group_IT_number 160
_space_group_name_Hall 'R 3 -2"'
_cell_length_a 3.9838
_cell_length_b 3.9838
_cell_length_c 12.3866
_cell_angle_alpha 90.00
_cell_angle_beta 90.00
_cell_angle_gamma 120.00
loop_
_atom_site_label
_atom_site_fract_x
_atom_site_fract_y
_atom_site_fract_z
Li1 0.0000 0.0000 0.0000
Li2 0.0000 0.0000 0.2191
Be1 0.0000 0.0000 0.7735
Ge1 0.0000 0.0000 0.4478
```


x.
Compound: Li2BeGe
Source: Alexandria
Functional: PBE
Structure: optimized geometry

The crystal system is monoclinic.

```
data_Li2BeGe
_space_group_name_H-M_alt 'C 1 m 1'
_space_group_IT_number 8
_space_group_name_Hall 'C -2y'
_cell_length_a 9.180
_cell_length_b 3.846
_cell_length_c 7.419
_cell_angle_alpha 90.00
_cell_angle_beta 115.15
_cell_angle_gamma 90.00
loop_
_atom_site_label
_atom_site_fract_x
_atom_site_fract_y
_atom_site_fract_z
Li1 0.000 0.000 0.000
Li2 0.001 0.000 0.497
Li3 0.129 0.500 0.338
Li4 0.376 0.000 0.658
Be1 0.244 0.500 0.065
Be2 0.254 0.000 0.925
Ge1 0.203 0.500 0.735
Ge2 0.299 0.000 0.257
```


Most stable of them? w.


w.
Compound: Li2BeGe
Source: Alexandria
Functional: PBE
Structure: optimized geometry

The crystal system is monoclinic.

```
data_Li2BeGe
_space_group_name_H-M_alt 'P 1 21/m 1'
_space_group_IT_number 11
_space_group_name_Hall '-P 2yb'
_cell_length_a 4.847
_cell_length_b 3.902
_cell_length_c 6.091
_cell_angle_alpha 90.00
_cell_angle_beta 95.70
_cell_angle_gamma 90.00
loop_
_atom_site_label
_atom_site_fract_x
_atom_site_fract_y
_atom_site_fract_z
Li1 0.116 0.250 0.171
Li2 0.271 0.750 0.477
Be1 0.397 0.750 0.951
Ge1 0.259 0.250 0.760
```


x.
Compound: Li2BeGe
Source: Alexandria
Functional: PBE
Structure: optimized geometry

The crystal system is cubic.

```
data_Li2BeGe
_space_group_name_H-M_alt 'F m -3 m'
_space_group_IT_number 225
_space_group_name_Hall '-F 4 2 3'
_cell_length_a 5.907
_cell_length_b 5.907
_cell_length_c 5.907
_cell_angle_alpha 90.00
_cell_angle_beta 90.00
_cell_angle_gamma 90.00
loop_
_atom_site_label
_atom_site_fract_x
_atom_site_fract_y
_atom_site_fract_z
Li1 0.250 0.250 0.250
Be1 0.000 0.000 0.000
Ge1 0.000 0.000 0.500
```


Most stable of them? w.


w.
Compound: Li2BeGe
Source: Alexandria
Functional: PBE
Structure: optimized geometry

The crystal system is cubic.

```
data_Li2BeGe
_space_group_name_H-M_alt 'F -4 3 m'
_space_group_IT_number 216
_space_group_name_Hall 'F -4 2 3'
_cell_length_a 5.824
_cell_length_b 5.824
_cell_length_c 5.824
_cell_angle_alpha 90.00
_cell_angle_beta 90.00
_cell_angle_gamma 90.00
loop_
_atom_site_label
_atom_site_fract_x
_atom_site_fract_y
_atom_site_fract_z
Li1 0.000 0.000 0.000
Li2 0.250 0.250 0.250
Be1 0.250 0.250 0.750
Ge1 0.000 0.000 0.500
```


x.
Compound: Li2BeGe
Source: Alexandria
Functional: PBE
Structure: optimized geometry

The crystal system is tetragonal.

```
data_Li2BeGe
_space_group_name_H-M_alt 'I -4 2 d'
_space_group_IT_number 122
_space_group_name_Hall 'I -4 2bw'
_cell_length_a 7.036
_cell_length_b 7.036
_cell_length_c 4.764
_cell_angle_alpha 90.00
_cell_angle_beta 90.00
_cell_angle_gamma 90.00
loop_
_atom_site_label
_atom_site_fract_x
_atom_site_fract_y
_atom_site_fract_z
Li1 0.231 0.750 0.125
Be1 0.000 0.000 0.000
Ge1 0.000 0.000 0.500
```


Most stable of them? w.